{
  "formula": "Zr4AsP2H",
  "functional": "PBE-GGA",
  "state": "optimized geometry",
  "cell": [[-3.4634, 0.5628, -1.3122], [-0.5720, -2.6229, 5.7323], [-0.1181, 11.2983, 5.1579]],
  "species": ["Zr", "Zr", "Zr", "Zr", "Zr", "Zr", "Zr", "Zr", "As", "As", "P", "P", "P", "P", "H", "H"],
  "frac_coords": [[0.2694, 0.5387, 0.1196], [0.7306, 0.4613, 0.6196], [0.7306, 0.4613, 0.8804], [0.2694, 0.5387, 0.3804], [0.0000, 0.0000, 0.5000], [0.0000, 0.0000, 0.0000], [0.4449, 0.8899, 0.7500], [0.5551, 0.1101, 0.2500], [0.1096, 0.2192, 0.7500], [0.8904, 0.7808, 0.2500], [0.3650, 0.7300, 0.5622], [0.6350, 0.2700, 0.0622], [0.6350, 0.2700, 0.4378], [0.3650, 0.7300, 0.9378], [0.8415, 0.6831, 0.7500], [0.1585, 0.3169, 0.2500]]
}

{
  "formula": "Pa2AsH4",
  "functional": "PBE-GGA",
  "state": "optimized geometry",
  "cell": [[3.7126, 0.0000, 0.0000], [0.0000, 7.0166, 0.0000], [0.0000, 0.0000, 7.0166]],
  "species": ["Pa", "Pa", "Pa", "Pa", "As", "As", "H", "H", "H", "H", "H", "H", "H", "H"],
  "frac_coords": [[0.0000, 0.2167, 0.7833], [0.0000, 0.7833, 0.2167], [0.5000, 0.7167, 0.7167], [0.5000, 0.2833, 0.2833], [0.5000, 0.0000, 0.0000], [0.0000, 0.5000, 0.5000], [0.0000, 0.0913, 0.3330], [0.0000, 0.9087, 0.6670], [0.5000, 0.1670, 0.5913], [0.5000, 0.8330, 0.4087], [0.5000, 0.4087, 0.8330], [0.5000, 0.5913, 0.1670], [0.0000, 0.3330, 0.0913], [0.0000, 0.6670, 0.9087]]
}

{
  "formula": "Pa3AsH",
  "functional": "PBE-GGA",
  "state": "optimized geometry",
  "cell": [[4.5345, 0.0000, 0.0000], [0.0000, 4.5345, 0.0000], [0.0000, 0.0000, 4.5345]],
  "species": ["H", "As", "Pa", "Pa", "Pa"],
  "frac_coords": [[0.0000, 0.0000, 0.0000], [0.5000, 0.5000, 0.5000], [0.0000, 0.5000, 0.0000], [0.0000, 0.0000, 0.5000], [0.5000, 0.0000, 0.0000]]
}

{
  "formula": "Pa2As2H",
  "functional": "PBE-GGA",
  "state": "optimized geometry",
  "cell": [[3.7427, 0.0000, 0.0000], [-1.8714, 5.0838, 0.0000], [0.0000, 0.0000, 10.8140]],
  "species": ["Pa", "Pa", "Pa", "Pa", "As", "As", "As", "As", "H", "H"],
  "frac_coords": [[0.2419, 0.4838, 0.1303], [0.0392, 0.0785, 0.8825], [0.7581, 0.5162, 0.6303], [0.9608, 0.9215, 0.3825], [0.9561, 0.9121, 0.1269], [0.3221, 0.6441, 0.8411], [0.0439, 0.0879, 0.6269], [0.6779, 0.3559, 0.3411], [0.6482, 0.2964, 0.0046], [0.3518, 0.7036, 0.5046]]
}

{
  "formula": "Pa2AsH4",
  "functional": "PBE-GGA",
  "state": "optimized geometry",
  "cell": [[0.8188, -0.0462, 3.7019], [0.6554, -3.2962, 1.7557], [7.4550, -0.5461, 0.2861]],
  "species": ["Pa", "Pa", "As", "H", "H", "H", "H"],
  "frac_coords": [[0.2434, 0.2434, 0.2697], [0.7566, 0.7566, 0.7303], [0.0000, 0.0000, 0.0000], [0.4293, 0.4293, 0.7121], [0.1354, 0.1354, 0.5939], [0.5707, 0.5707, 0.2879], [0.8646, 0.8646, 0.4061]]
}

{
  "formula": "Pa4As5H",
  "functional": "PBE-GGA",
  "state": "optimized geometry",
  "cell": [[-3.7087, -0.9875, 1.6138], [-1.9396, -2.9420, -6.2576], [6.6905, -3.3908, 7.9303]],
  "species": ["Pa", "Pa", "Pa", "Pa", "As", "As", "As", "As", "As", "H"],
  "frac_coords": [[0.2892, 0.8337, 0.5784], [0.9974, 0.7572, 0.9948], [0.7108, 0.1663, 0.4216], [0.0026, 0.2428, 0.0052], [0.8491, 0.7032, 0.6983], [0.8486, 0.1974, 0.6972], [0.1514, 0.8026, 0.3028], [0.5000, 0.5000, 0.0000], [0.1509, 0.2968, 0.3017], [0.5000, 0.0000, 0.0000]]
}

Number 1: final energy -123.26 eV for the cell shown. Number 2: final energy -80.83 eV for the cell shown. Number 3: final energy -38.43 eV for the cell shown. Number 4: final energy -69.07 eV for the cell shown. Number 5: final energy -40.94 eV for the cell shown. Number 6: final energy -70.74 eV for the cell shown.